Record 1
This record from the Open Quantum Materials Database describes a geometry-optimized CsU structure. The functional is PBE. Values from VASP.

The structure in Quantum ESPRESSO input format:
```
&SYSTEM
  ibrav = 0, nat = 2, ntyp = 2
/
ATOMIC_SPECIES
Cs 132.91 Cs.upf
U 238.03 U.upf
CELL_PARAMETERS angstrom
0.000 3.217 3.217
3.217 0.000 3.217
3.217 3.217 0.000
ATOMIC_POSITIONS angstrom
Cs 0.000 0.000 0.000
U 3.217 3.217 3.217
```

Properties
E ... -7.09 eV/cell
SG ... Fm-3m
Density ... 9.250 g/cm3

=====

Record 2
This record from the Open Quantum Materials Database describes a geometry-optimized MgZnHgTe3 structure. The functional is PBE. Values from VASP.

The structure in Quantum ESPRESSO input format:
```
&SYSTEM
  ibrav = 0, nat = 12, ntyp = 4
/
ATOMIC_SPECIES
Mg 24.30 Mg.upf
Zn 65.41 Zn.upf
Hg 200.59 Hg.upf
Te 127.60 Te.upf
CELL_PARAMETERS angstrom
1.993 -7.042 0.000
1.993 7.042 0.000
0.000 0.000 12.120
ATOMIC_POSITIONS angstrom
Mg 1.993 4.091 9.090
Mg 1.993 -4.091 3.030
Zn 0.000 0.000 0.000
Zn 0.000 0.000 6.060
Hg 1.993 0.186 3.030
Hg 1.993 -0.186 9.090
Te 1.993 5.154 3.030
Te 1.993 1.879 0.762
Te 1.993 1.879 5.297
Te 1.993 -1.879 6.822
Te 1.993 -1.879 11.357
Te 1.993 -5.154 9.090
```

Properties
E ... -27.08 eV/cell
SG ... Cmcm
Density ... 6.572 g/cm3

=====

Record 3
This record from the Open Quantum Materials Database describes a geometry-optimized BaPd structure. The functional is PBE. Values from VASP.

The structure in Quantum ESPRESSO input format:
```
&SYSTEM
  ibrav = 0, nat = 2, ntyp = 2
/
ATOMIC_SPECIES
Ba 137.33 Ba.upf
Pd 106.42 Pd.upf
CELL_PARAMETERS angstrom
0.000 3.541 3.541
3.541 0.000 3.541
3.541 3.541 0.000
ATOMIC_POSITIONS angstrom
Ba 0.000 0.000 0.000
Pd 5.312 5.312 5.312
```

Properties
E ... -7.34 eV/cell
SG ... F-43m
Density ... 4.558 g/cm3

=====

Record 4
This record from the Open Quantum Materials Database describes a geometry-optimized TmNbRe structure. The functional is PBE. Values from VASP.

The structure in Quantum ESPRESSO input format:
```
&SYSTEM
  ibrav = 0, nat = 3, ntyp = 3
/
ATOMIC_SPECIES
Tm 168.93 Tm.upf
Nb 92.91 Nb.upf
Re 186.21 Re.upf
CELL_PARAMETERS angstrom
0.000 3.194 3.194
3.194 0.000 3.194
3.194 3.194 0.000
ATOMIC_POSITIONS angstrom
Tm 0.000 0.000 0.000
Nb 4.790 4.790 4.790
Re 3.194 3.194 3.194
```

Properties
ΔH_f (0 K) ... 696.4 meV per atom
E ... -24.90 eV/cell
SG ... F-43m
Density ... 11.421 g/cm3

=====

Record 5
This record from the Open Quantum Materials Database describes a geometry-optimized YFeCuSn structure. The functional is PBE. Values from VASP.

The structure in Quantum ESPRESSO input format:
```
&SYSTEM
  ibrav = 0, nat = 4, ntyp = 4
/
ATOMIC_SPECIES
Y 88.91 Y.upf
Fe 55.84 Fe.upf
Cu 63.55 Cu.upf
Sn 118.71 Sn.upf
CELL_PARAMETERS angstrom
0.000 3.306 3.306
3.306 0.000 3.306
3.306 3.306 0.000
ATOMIC_POSITIONS angstrom
Y 0.000 0.000 0.000
Fe 1.653 1.653 1.653
Cu 4.958 4.958 4.958
Sn 3.306 3.306 3.306
```

Properties
E ... -22.94 eV/cell
SG ... F-43m
Density ... 7.517 g/cm3

=====

Record 6
This record from the Open Quantum Materials Database describes a geometry-optimized Y4NiSnC2 structure. The functional is PBE. Values from VASP.

The structure in Quantum ESPRESSO input format:
```
&SYSTEM
  ibrav = 0, nat = 8, ntyp = 4
/
ATOMIC_SPECIES
Y 88.91 Y.upf
Ni 58.69 Ni.upf
Sn 118.71 Sn.upf
C 12.01 C.upf
CELL_PARAMETERS angstrom
3.630 0.000 0.000
-1.815 3.144 0.000
0.000 0.000 14.599
ATOMIC_POSITIONS angstrom
Y 0.000 0.000 1.969
Y 0.000 0.000 12.629
Y 1.815 1.048 4.673
Y 1.815 1.048 9.926
Ni 1.815 1.048 0.000
Sn 0.000 0.000 7.299
C 0.000 2.096 3.359
C 0.000 2.096 11.240
```

Properties
E ... -56.79 eV/cell
SG ... P-6m2
Density ... 5.552 g/cm3

=====

Record 7
This record from the Open Quantum Materials Database describes a geometry-optimized LuSn2Au structure. The functional is PBE. Values from VASP.

The structure in Quantum ESPRESSO input format:
```
&SYSTEM
  ibrav = 0, nat = 4, ntyp = 3
/
ATOMIC_SPECIES
Lu 174.97 Lu.upf
Sn 118.71 Sn.upf
Au 196.97 Au.upf
CELL_PARAMETERS angstrom
0.000 3.636 3.636
3.636 0.000 3.636
3.636 3.636 0.000
ATOMIC_POSITIONS angstrom
Lu 0.000 0.000 0.000
Sn 1.818 1.818 1.818
Sn 3.636 3.636 3.636
Au 5.453 5.453 5.453
```

Properties
E ... -17.00 eV/cell
SG ... F-43m
Density ... 10.529 g/cm3

=====

Record 8
This record from the Open Quantum Materials Database describes a geometry-optimized Dy3Si4Sn4 structure. The functional is PBE. Values from VASP.

The structure in Quantum ESPRESSO input format:
```
&SYSTEM
  ibrav = 0, nat = 11, ntyp = 3
/
ATOMIC_SPECIES
Dy 162.50 Dy.upf
Si 28.09 Si.upf
Sn 118.71 Sn.upf
CELL_PARAMETERS angstrom
-2.237 3.463 8.404
2.237 -3.463 8.404
2.237 3.463 -8.404
ATOMIC_POSITIONS angstrom
Dy 0.000 0.000 0.000
Dy 2.237 0.000 6.230
Dy 0.000 3.463 2.174
Si 2.237 1.235 -2.528
Si 2.237 1.235 2.528
Si 0.000 2.228 5.876
Si 0.000 2.228 10.932
Sn 0.000 0.000 3.700
Sn 2.237 2.086 0.000
Sn 0.000 1.376 8.404
Sn 0.000 0.000 13.107
```

Properties
E ... -52.97 eV/cell
SG ... Immm
Density ... 6.855 g/cm3

=====

Record 9
This record from the Open Quantum Materials Database describes a geometry-optimized Ga2TcW structure. The functional is PBE. Values from VASP.

The structure in Quantum ESPRESSO input format:
```
&SYSTEM
  ibrav = 0, nat = 4, ntyp = 3
/
ATOMIC_SPECIES
Ga 69.72 Ga.upf
Tc 98.00 Tc.upf
W 183.84 W.upf
CELL_PARAMETERS angstrom
0.000 3.118 3.118
3.118 0.000 3.118
3.118 3.118 0.000
ATOMIC_POSITIONS angstrom
Ga 0.000 0.000 0.000
Ga 1.559 1.559 1.559
Tc 3.118 3.118 3.118
W 4.677 4.677 4.677
```

Properties
E ... -28.61 eV/cell
SG ... F-43m
Density ... 11.541 g/cm3

=====

Record 10
This record from the Open Quantum Materials Database describes a geometry-optimized CsFeCuSe3 structure. The functional is PBE. Values from VASP.

The structure in Quantum ESPRESSO input format:
```
&SYSTEM
  ibrav = 0, nat = 24, ntyp = 4
/
ATOMIC_SPECIES
Cs 132.91 Cs.upf
Fe 55.84 Fe.upf
Cu 63.55 Cu.upf
Se 78.96 Se.upf
CELL_PARAMETERS angstrom
15.941 0.000 0.000
0.000 3.772 0.000
0.000 0.000 9.870
ATOMIC_POSITIONS angstrom
Cs 3.778 0.943 0.466
Cs 4.193 2.829 5.401
Cs 11.748 0.943 4.469
Cs 12.164 2.829 9.405
Fe 0.223 0.943 3.301
Fe 7.747 2.829 8.237
Fe 8.194 0.943 1.634
Fe 15.718 2.829 6.569
Cu 0.187 2.829 0.877
Cu 7.784 0.943 5.812
Cu 8.158 2.829 4.058
Cu 15.754 0.943 8.994
Se 1.049 0.943 5.614
Se 1.297 2.829 8.484
Se 1.731 2.829 2.726
Se 6.239 0.943 7.661
Se 6.674 0.943 3.549
Se 6.922 2.829 0.679
Se 9.020 0.943 9.192
Se 9.267 2.829 6.321
Se 9.702 2.829 2.210
Se 14.210 0.943 7.145
Se 14.645 0.943 1.386
Se 14.892 2.829 4.256
```

Properties
E ... -104.63 eV/cell
SG ... Pnma
Density ... 5.475 g/cm3

=====

Record 11
This record from the Open Quantum Materials Database describes a geometry-optimized CdFeSiMo structure. The functional is PBE. Values from VASP.

The structure in Quantum ESPRESSO input format:
```
&SYSTEM
  ibrav = 0, nat = 4, ntyp = 4
/
ATOMIC_SPECIES
Cd 112.41 Cd.upf
Fe 55.84 Fe.upf
Si 28.09 Si.upf
Mo 95.94 Mo.upf
CELL_PARAMETERS angstrom
0.000 3.091 3.091
3.091 0.000 3.091
3.091 3.091 0.000
ATOMIC_POSITIONS angstrom
Cd 0.000 0.000 0.000
Fe 1.546 1.546 1.546
Si 3.091 3.091 3.091
Mo 4.637 4.637 4.637
```

Properties
E ... -23.91 eV/cell
SG ... F-43m
Density ... 8.214 g/cm3

=====

Record 12
This record from the Open Quantum Materials Database describes a geometry-optimized GdScTe structure. The functional is PBE. Values from VASP.

The structure in Quantum ESPRESSO input format:
```
&SYSTEM
  ibrav = 0, nat = 3, ntyp = 3
/
ATOMIC_SPECIES
Gd 157.25 Gd.upf
Sc 44.96 Sc.upf
Te 127.60 Te.upf
CELL_PARAMETERS angstrom
0.000 3.615 3.615
3.615 0.000 3.615
3.615 3.615 0.000
ATOMIC_POSITIONS angstrom
Gd 0.000 0.000 0.000
Sc 5.422 5.422 5.422
Te 1.807 1.807 1.807
```

Properties
E ... -13.74 eV/cell
SG ... F-43m
Density ... 5.798 g/cm3